[1]
# Pm6Rh2Br3Cl, optimized geometry, DFT PBE-GGA
data_Pm6Rh2Br3Cl
_chemical_formula_sum 'Pm12 Rh4 Br6 Cl2'
_cell_length_a 7.311
_cell_length_b 12.629
_cell_length_c 7.910
_cell_angle_alpha 90.00
_cell_angle_beta 107.82
_cell_angle_gamma 90.00
_space_group_name_H-M_alt 'C 1 2/m 1'
_space_group_IT_number 12
_space_group_name_Hall '-C 2y'
loop_
_atom_site_label
_atom_site_type_symbol
_atom_site_fract_x
_atom_site_fract_y
_atom_site_fract_z
Pm1 Pm 0.203 0.000 0.199
Pm2 Pm 0.250 0.182 0.798
Rh1 Rh 0.000 0.168 0.000
Br1 Br 0.000 0.000 0.500
Br2 Br 0.000 0.341 0.500
Cl1 Cl 0.000 0.500 0.000
# calculated total energy	-63.57	eV per formula unit
# Fermi-level density of states	16.56	states/eV/cell
# calculated volume	348	Å³/f.u.
# raw formation energy	-1.125	eV per atom

***

[2]
# MgCo2Mo2, optimized geometry, DFT PBE-GGA
data_MgCo2Mo2
_chemical_formula_sum 'Mg2 Co4 Mo4'
_cell_length_a 7.443
_cell_length_b 7.443
_cell_length_c 2.636
_cell_angle_alpha 90.00
_cell_angle_beta 90.00
_cell_angle_gamma 90.00
_space_group_name_H-M_alt 'P 4/m b m'
_space_group_IT_number 127
_space_group_name_Hall '-P 4 2ab'
loop_
_atom_site_label
_atom_site_type_symbol
_atom_site_fract_x
_atom_site_fract_y
_atom_site_fract_z
Mg1 Mg 0.000 0.000 0.000
Co1 Co 0.170 0.330 0.500
Mo1 Mo 0.124 0.624 0.000
# formation enthalpy at 0 K	0.190	eV/atom
# calculated total energy	-36.52	eV per formula unit
# distance to the lowest polymorph of the same formula	33	kJ/mol of formula units
# Fermi-level density of states	6.41	states/eV/cell
# calculated volume	73	Å³/f.u.

***

[3]
# Ce2Al5Cu2Rh, optimized geometry, DFT PBE-GGA
data_Ce2Al5Cu2Rh
_chemical_formula_sum 'Ce4 Al10 Cu4 Rh2'
_cell_length_a 9.399
_cell_length_b 9.399
_cell_length_c 4.045
_cell_angle_alpha 90.00
_cell_angle_beta 90.00
_cell_angle_gamma 90.00
_space_group_name_H-M_alt 'P 4/m b m'
_space_group_IT_number 127
_space_group_name_Hall '-P 4 2ab'
loop_
_atom_site_label
_atom_site_type_symbol
_atom_site_fract_x
_atom_site_fract_y
_atom_site_fract_z
Ce1 Ce 0.185 0.315 0.000
Al1 Al 0.000 0.500 0.500
Al2 Al 0.051 0.802 0.500
Cu1 Cu 0.110 0.610 0.000
Rh1 Rh 0.000 0.000 0.000
# formation enthalpy at 0 K	-0.428	eV/atom
# calculated total energy	-50.40	eV per formula unit
# Fermi-level density of states	16.54	states/eV/cell
# calculated volume	179	Å³/f.u.

***

[4]
# SrAg2Br, optimized geometry, DFT PBE-GGA
data_SrAg2Br
_chemical_formula_sum 'Sr3 Ag6 Br3'
_cell_length_a 5.0446
_cell_length_b 5.0446
_cell_length_c 15.3456
_cell_angle_alpha 90.00
_cell_angle_beta 90.00
_cell_angle_gamma 120.00
_space_group_name_H-M_alt 'R -3 m'
_space_group_IT_number 166
_space_group_name_Hall '-R 3 2"'
loop_
_atom_site_label
_atom_site_type_symbol
_atom_site_fract_x
_atom_site_fract_y
_atom_site_fract_z
Sr1 Sr 0.0000 0.0000 0.0000
Ag1 Ag 0.0000 0.0000 0.2265
Br1 Br 0.0000 0.0000 0.5000
# calculated total energy	-9.63	eV per formula unit
# distance to the lowest polymorph of the same formula	193	kJ/mol of formula units
# Fermi-level density of states	9.13	states/eV/cell
# calculated volume	113	Å³/f.u.
# raw formation energy	-0.142	eV per atom

***

[5]
# PrYGe2, optimized geometry, DFT PBE-GGA
data_PrYGe2
_chemical_formula_sum 'Pr2 Y2 Ge4'
_cell_length_a 4.046
_cell_length_b 4.415
_cell_length_c 10.982
_cell_angle_alpha 90.00
_cell_angle_beta 90.00
_cell_angle_gamma 90.00
_space_group_name_H-M_alt 'A m m 2'
_space_group_IT_number 38
_space_group_name_Hall 'A 2 -2'
loop_
_atom_site_label
_atom_site_type_symbol
_atom_site_fract_x
_atom_site_fract_y
_atom_site_fract_z
Pr1 Pr 0.000 0.000 0.000
Y1 Y 0.500 0.000 0.276
Ge1 Ge 0.000 0.000 0.723
Ge2 Ge 0.500 0.000 0.557
# formation enthalpy at 0 K	-0.851	eV/atom
# calculated total energy	-23.88	eV per formula unit
# Fermi-level density of states	5.86	states/eV/cell
# calculated volume	98	Å³/f.u.

***

[6]
# ZnPd5Pt3, optimized geometry, DFT PBE-GGA
data_ZnPd5Pt3
_chemical_formula_sum 'Zn4 Pd20 Pt12'
_cell_length_a 6.506
_cell_length_b 6.506
_cell_length_c 14.488
_cell_angle_alpha 90.00
_cell_angle_beta 90.00
_cell_angle_gamma 90.00
_space_group_name_H-M_alt 'I 4/m c m'
_space_group_IT_number 140
_space_group_name_Hall '-I 4 2c'
loop_
_atom_site_label
_atom_site_type_symbol
_atom_site_fract_x
_atom_site_fract_y
_atom_site_fract_z
Zn1 Zn 0.000 0.500 0.250
Pd1 Pd 0.000 0.000 0.000
Pd2 Pd 0.233 0.267 0.154
Pt1 Pt 0.000 0.000 0.250
Pt2 Pt 0.130 0.370 0.500
# formation enthalpy at 0 K	0.188	eV/atom
# calculated total energy	-43.66	eV per formula unit
# Fermi-level density of states	50.20	states/eV/cell
# calculated volume	153	Å³/f.u.

***

[7]
# RbInPb2I8, optimized geometry, DFT PBE-GGA
data_RbInPb2I8
_chemical_formula_sum 'Rb1 In1 Pb2 I8'
_cell_length_a 7.343
_cell_length_b 7.736
_cell_length_c 9.845
_cell_angle_alpha 89.96
_cell_angle_beta 89.86
_cell_angle_gamma 88.14
_space_group_name_H-M_alt 'P -1'
_space_group_IT_number 2
_space_group_name_Hall '-P 1'
loop_
_atom_site_label
_atom_site_type_symbol
_atom_site_fract_x
_atom_site_fract_y
_atom_site_fract_z
Rb1 Rb 0.000 0.000 0.000
In1 In 0.000 0.000 0.500
Pb1 Pb 0.500 0.500 0.256
I1 I 0.228 0.328 0.500
I2 I 0.245 0.853 0.709
I3 I 0.247 0.854 0.290
I4 I 0.272 0.372 0.000
# calculated total energy	-31.51	eV per formula unit
# calculated volume	559	Å³/f.u.
# raw formation energy	-0.666	eV per atom

***

[8]
# HoNiBiPd, optimized geometry, DFT PBE-GGA
data_HoNiBiPd
_chemical_formula_sum 'Ho4 Ni4 Bi4 Pd4'
_cell_length_a 6.788
_cell_length_b 6.788
_cell_length_c 6.788
_cell_angle_alpha 90.00
_cell_angle_beta 90.00
_cell_angle_gamma 90.00
_space_group_name_H-M_alt 'F -4 3 m'
_space_group_IT_number 216
_space_group_name_Hall 'F -4 2 3'
loop_
_atom_site_label
_atom_site_type_symbol
_atom_site_fract_x
_atom_site_fract_y
_atom_site_fract_z
Ho1 Ho 0.000 0.000 0.000
Ni1 Ni 0.250 0.250 0.750
Bi1 Bi 0.000 0.000 0.500
Pd1 Pd 0.250 0.250 0.250
# formation enthalpy at 0 K	-0.492	eV/atom
# calculated total energy	-21.40	eV per formula unit
# Fermi-level density of states	11.48	states/eV/cell
# calculated volume	78	Å³/f.u.

***

[9]
# BeCu2As, optimized geometry, DFT PBE-GGA
data_BeCu2As
_chemical_formula_sum 'Be2 Cu4 As2'
_cell_length_a 3.657
_cell_length_b 3.657
_cell_length_c 7.486
_cell_angle_alpha 90.00
_cell_angle_beta 90.00
_cell_angle_gamma 90.00
_space_group_name_H-M_alt 'I -4 m 2'
_space_group_IT_number 119
_space_group_name_Hall 'I -4 -2'
loop_
_atom_site_label
_atom_site_type_symbol
_atom_site_fract_x
_atom_site_fract_y
_atom_site_fract_z
Be1 Be 0.000 0.000 0.000
Cu1 Cu 0.000 0.000 0.500
Cu2 Cu 0.000 0.500 0.250
As1 As 0.000 0.500 0.750
# formation enthalpy at 0 K	0.133	eV/atom
# calculated total energy	-16.04	eV per formula unit
# distance to the lowest polymorph of the same formula	6	kJ/mol of formula units
# Fermi-level density of states	1.53	states/eV/cell
# calculated volume	50	Å³/f.u.

***

[10]
# RbSmRe2O8, optimized geometry, DFT PBE-GGA
data_RbSmRe2O8
_chemical_formula_sum 'Rb1 Sm1 Re2 O8'
_cell_length_a 6.1077
_cell_length_b 6.1077
_cell_length_c 8.0144
_cell_angle_alpha 90.00
_cell_angle_beta 90.00
_cell_angle_gamma 120.00
_space_group_name_H-M_alt 'P -3 m 1'
_space_group_IT_number 164
_space_group_name_Hall '-P 3 2"'
loop_
_atom_site_label
_atom_site_type_symbol
_atom_site_fract_x
_atom_site_fract_y
_atom_site_fract_z
Rb1 Rb 0.0000 0.0000 0.0000
Sm1 Sm 0.0000 0.0000 0.5000
Re1 Re 0.3333 0.6667 0.7562
O1 O 0.1727 0.3453 0.6784
O2 O 0.3333 0.6667 0.9763
# calculated total energy	-94.11	eV per formula unit
# Fermi-level density of states	6.33	states/eV/cell
# calculated volume	259	Å³/f.u.
# raw formation energy	-1.989	eV per atom

***

[11]
# La12DyTl4O3, optimized geometry, DFT PBE-GGA
data_La12DyTl4O3
_chemical_formula_sum 'La24 Dy2 Tl8 O6'
_cell_length_a 10.518
_cell_length_b 10.518
_cell_length_c 10.518
_cell_angle_alpha 90.00
_cell_angle_beta 90.00
_cell_angle_gamma 90.00
_space_group_name_H-M_alt 'I m -3 m'
_space_group_IT_number 229
_space_group_name_Hall '-I 4 2 3'
loop_
_atom_site_label
_atom_site_type_symbol
_atom_site_fract_x
_atom_site_fract_y
_atom_site_fract_z
La1 La 0.000 0.000 0.275
La2 La 0.000 0.250 0.500
Dy1 Dy 0.000 0.000 0.000
Tl1 Tl 0.250 0.250 0.250
O1 O 0.000 0.000 0.500
# calculated total energy	-104.63	eV per formula unit
# Fermi-level density of states	41.14	states/eV/cell
# calculated volume	582	Å³/f.u.
# raw formation energy	-0.828	eV per atom